Record 1
DFT (PBE) results for DyThTcGe after structural relaxation.

The space group is Amm2 (No. 38) and the conventional cell measures 3.9068, 4.1654 and 11.4247 Å, with angles of 90.00, 90.00 and 90.00 degrees. The distinct sites, in fractional coordinates, are Dy at (0.0000, 0.0000, 0.0000), Th at (0.5000, 0.0000, 0.7268), Tc at (0.0000, 0.0000, 0.2750) and Ge at (0.5000, 0.0000, 0.4320).

The value obtained for the formation enthalpy at 0 K is -53.0 kJ per mole of atoms. The calculation puts the density of states at the Fermi level at 3.90 states/eV per cell. Its crystal system is orthorhombic.


Record 2
DFT (PBE) results for InTcOs2 after structural relaxation.

The space group is P4/mmm (No. 123) and the conventional cell measures 2.8625, 2.8625 and 7.7194 Å, with angles of 90.00, 90.00 and 90.00 degrees. The distinct sites, in fractional coordinates, are In at (0.0000, 0.0000, 0.0000), Tc at (0.0000, 0.0000, 0.5000) and Os at (0.5000, 0.5000, 0.2727).

The value obtained for the formation enthalpy at 0 K is 27.5 kJ per mole of atoms. The calculation puts the density of states at the Fermi level at 4.49 states/eV per cell. Its crystal system is tetragonal.


Record 3
DFT (PBE) results for Nd2Co5Ni12 after structural relaxation.

The space group is R-3m (No. 166, hexagonal axes) and the conventional cell measures 8.3689, 8.3689 and 12.1650 Å, with angles of 90.00, 90.00 and 120.00 degrees. The distinct sites, in fractional coordinates, are Nd at (0.0000, 0.0000, 0.1556), Co at (0.0000, 0.0000, 0.4061), Co at (0.0000, 0.5000, 0.0000), Ni at (0.0000, 0.2920, 0.5000) and Ni at (0.0087, 0.5044, 0.3454).

The value obtained for the formation enthalpy at 0 K is -12.9 kJ per mole of atoms. The calculation puts the density of states at the Fermi level at 73.35 states/eV per cell. Its crystal system is trigonal.


Record 4
DFT (PBE) results for Ac2MnGa4Au3 after structural relaxation.

The space group is P-4m2 (No. 115) and the conventional cell measures 4.4789, 4.4789 and 10.9721 Å, with angles of 90.00, 90.00 and 90.00 degrees. The distinct sites, in fractional coordinates, are Ac at (0.0000, 0.5000, 0.2468), Mn at (0.5000, 0.5000, 0.0000), Ga at (0.0000, 0.0000, 0.5000), Ga at (0.0000, 0.5000, 0.8737), Ga at (0.5000, 0.5000, 0.5000), Au at (0.0000, 0.0000, 0.0000) and Au at (0.0000, 0.5000, 0.6332).

The value obtained for the formation enthalpy at 0 K is -54.7 kJ per mole of atoms. The calculation puts the density of states at the Fermi level at 4.92 states/eV per cell. Its crystal system is tetragonal.


Record 5
DFT (PBE) results for AgSb2Br after structural relaxation.

The space group is Pmmm (No. 47) and the conventional cell measures 3.3322, 5.1887 and 5.8422 Å, with angles of 90.00, 90.00 and 90.00 degrees. The distinct sites, in fractional coordinates, are Ag at (0.0000, 0.0000, 0.0000), Sb at (0.0000, 0.5000, 0.5000), Sb at (0.5000, 0.5000, 0.0000) and Br at (0.5000, 0.0000, 0.5000).

For the energy above the most stable polymorph in this dataset, the calculation gives 274 meV per atom. The calculation puts the density of states at the Fermi level at 1.43 states/eV per cell. Its crystal system is orthorhombic. The uncorrected formation energy is 148 meV/atom.


| no. | magnetization (μB/atom) | theoretical density (g/cm³) |
| --- | --- | --- |
| 1 | 0.000 | 10.10 |
| 2 | 0.000 | 15.58 |
| 3 | 0.673 | 8.69 |
| 4 | 0.320 | 10.40 |
| 5 | 0.000 | 7.09 |